BeVBW2 | PBE | relaxed

Unit cell a=4.513 b=4.513 c=3.847 alpha=90.00 beta=90.00 gamma=90.00
Space group P4/mmm (No. 123)
Symmetry-distinct sites (fractional):
Be  0.000  0.000  0.000
V  0.000  0.000  0.500
B  0.500  0.500  0.000
W  0.000  0.500  0.500

## Properties
- Energy: -6.78 eV per atom
- Formation energy from the elements: 2.302 eV/atom

Eu3Ga5I12 | PBE | relaxed

Unit cell a=19.080 b=19.080 c=19.080 alpha=90.00 beta=90.00 gamma=90.00
Space group Ia-3d (No. 230)
Symmetry-distinct sites (fractional):
Eu  0.000  0.250  0.125
Ga  0.000  0.000  0.000
Ga  0.000  0.250  0.375
I  0.020  0.070  0.653

## Properties
- Formation energy without anion corrections: -805 meV per atom
- Energy: -4.03 eV per atom

Tm4SnBi | PBE | relaxed

Unit cell a=4.873 b=6.538 c=10.685 alpha=90.00 beta=90.00 gamma=90.00
Space group Pmmn (No. 59, origin choice 2)
Symmetry-distinct sites (fractional):
Tm  0.250  0.005  0.239
Tm  0.250  0.250  0.589
Tm  0.250  0.250  0.922
Sn  0.250  0.750  0.913
Bi  0.250  0.750  0.590

## Properties
- Energy: -4.75 eV per atom
- Formation energy from the elements: -0.458 eV/atom

Ac2TeNCl2 | PBE | relaxed

Unit cell a=4.485 b=9.628 c=7.911 alpha=90.00 beta=90.00 gamma=90.00
Space group Pmc2_1 (No. 26)
Symmetry-distinct sites (fractional):
Ac  0.000  0.171  0.000
Ac  0.500  0.296  0.419
Te  0.500  0.032  0.709
N  0.000  0.235  0.300
Cl  0.000  0.369  0.698
Cl  0.500  0.380  0.037

## Properties
- Formation energy without anion corrections: -1618 meV per atom
- Energy: -5.51 eV per atom

Tb2GeTe5 | PBE | relaxed

Unit cell a=6.182 b=14.883 c=13.443 alpha=90.00 beta=90.00 gamma=90.00
Space group Cmcm (No. 63)
Symmetry-distinct sites (fractional):
Tb  0.000  0.172  0.072
Ge  0.000  0.201  0.750
Te  0.000  0.033  0.601
Te  0.000  0.295  0.250
Te  0.000  0.319  0.590

## Properties
- Formation energy without anion corrections: -789 meV per atom
- Energy: -4.49 eV per atom

ScTlTe | PBE | relaxed

Unit cell a=3.9466 b=3.9466 c=6.6212 alpha=90.00 beta=90.00 gamma=120.00
Space group P3m1 (No. 156)
Symmetry-distinct sites (fractional):
Sc  0.0000  0.0000  0.0000
Tl  0.6667  0.3333  0.6709
Te  0.3333  0.6667  0.2529

## Properties
- Formation energy without anion corrections: -417 meV per atom
- Energy: -4.36 eV per atom

Ru3IO12 | PBE | relaxed

Unit cell a=9.3212 b=9.3212 c=28.3036 alpha=90.00 beta=90.00 gamma=120.00
Space group R3c (No. 161, hexagonal axes)
Symmetry-distinct sites (fractional):
Ru  0.0371  0.3416  0.0000
I  0.0000  0.0000  0.4642
O  0.0501  0.5010  0.6167
O  0.1692  0.4248  0.3148
O  0.1915  0.4488  0.0403
O  0.1924  0.0763  0.0128

## Properties
- Formation energy without anion corrections: -531 meV per atom
- Energy: -6.09 eV per atom

HgMoRh | PBE | relaxed

Unit cell a=2.882 b=3.894 c=8.947 alpha=90.00 beta=90.00 gamma=90.00
Space group Imm2 (No. 44)
Symmetry-distinct sites (fractional):
Hg  0.000  0.000  0.000
Mo  0.000  0.000  0.683
Rh  0.000  0.000  0.319

## Properties
- Energy: -5.91 eV per atom
- Formation energy from the elements: 0.255 eV/atom

SmHoTm | PBE | relaxed

Unit cell a=3.575 b=3.578 c=8.808 alpha=101.62 beta=90.01 gamma=119.98
Space group P1 (No. 1)
Symmetry-distinct sites (fractional):
Sm  0.000  0.000  0.000
Ho  0.221  0.439  0.659
Tm  0.447  0.890  0.334

## Properties
- Energy: -4.58 eV per atom
- Formation energy from the elements: 0.008 eV/atom

KGa2Au2 | PBE | relaxed

Unit cell a=4.845 b=4.845 c=10.011 alpha=90.00 beta=90.00 gamma=90.00
Space group I4/mmm (No. 139)
Symmetry-distinct sites (fractional):
K  0.000  0.000  0.000
Ga  0.000  0.000  0.360
Au  0.000  0.500  0.250

## Properties
- Energy: -3.04 eV per atom
- Formation energy from the elements: -0.301 eV/atom

LiCaW3 | PBE | relaxed

Unit cell a=4.685 b=4.685 c=4.685 alpha=90.00 beta=90.00 gamma=90.00
Space group Pm-3m (No. 221)
Symmetry-distinct sites (fractional):
Li  0.000  0.000  0.000
Ca  0.500  0.500  0.500
W  0.000  0.500  0.500

## Properties
- Energy: -5.40 eV per atom
- Formation energy from the elements: 3.151 eV/atom

Ac6Cd5In | PBE | relaxed

Unit cell a=5.767 b=8.159 c=9.122 alpha=90.00 beta=108.26 gamma=90.00
Space group P2/m (No. 10)
Symmetry-distinct sites (fractional):
Ac  0.000  0.248  0.000
Ac  0.332  0.249  0.667
Cd  0.169  0.500  0.333
Cd  0.171  0.000  0.336
Cd  0.500  0.500  0.000
In  0.500  0.000  0.000

## Properties
- Energy: -2.98 eV per atom
- Formation energy from the elements: -0.315 eV/atom